Entry from Alexandria via LeMat-Bulk: crystalline Sm12InGe5 at its relaxed geometry (PBE).

Unit cell a=9.763 b=9.910 c=10.556 alpha=90.00 beta=90.00 gamma=90.00
Space group Immm (No. 71)
One atom of each set of equivalent atoms:
Sm 0.000 0.197 0.236
Sm 0.205 0.500 0.177
Sm 0.229 0.320 0.500
In 0.000 0.000 0.500
Ge 0.000 0.000 0.000
Ge 0.000 0.367 0.000
Ge 0.000 0.500 0.380

ρ	7.421	g/cm³
electronic total energy	-185.36	eV per cell


Entry from Alexandria via LeMat-Bulk: crystalline Sm2InGe at its relaxed geometry (PBE).

Unit cell a=4.217 b=4.538 c=11.380 alpha=90.00 beta=90.00 gamma=90.00
Space group Amm2 (No. 38)
One atom of each set of equivalent atoms:
Sm 0.000 0.000 0.000
Sm 0.500 0.000 0.280
In 0.500 0.000 0.565
Ge 0.000 0.000 0.729

ρ	7.444	g/cm³
electronic total energy	-38.83	eV per cell


Entry from Alexandria via LeMat-Bulk: crystalline Sm8In3Ge2 at its relaxed geometry (PBE).

Unit cell a=8.917 b=15.763 c=5.490 alpha=90.00 beta=90.00 gamma=90.00
Space group Cmmm (No. 65)
One atom of each set of equivalent atoms:
Sm 0.000 0.108 0.000
Sm 0.000 0.308 0.000
Sm 0.216 0.374 0.500
In 0.000 0.000 0.500
In 0.174 0.500 0.000
Ge 0.000 0.228 0.500

ρ	7.284	g/cm³
electronic total energy	-119.95	eV per cell


Entry from Alexandria via LeMat-Bulk: crystalline Sm3InGe2 at its relaxed geometry (PBE).

Unit cell a=4.416 b=4.434 c=15.993 alpha=90.00 beta=90.00 gamma=90.00
Space group Immm (No. 71)
One atom of each set of equivalent atoms:
Sm 0.000 0.000 0.000
Sm 0.000 0.500 0.175
In 0.000 0.000 0.500
Ge 0.000 0.500 0.361

offset from the most stable computed form	0	meV/atom
ρ	7.542	g/cm³